Here is crystalline NaHoCoF6 at its relaxed geometry from the Alexandria database. Energies are from PBE with a Hubbard U.

Cell: 5.6424 5.6424 9.6316 Å, 90.00 90.00 120.00°
Space group P-31c (No. 163)
Inequivalent atoms, fractional coordinates:
Na 0.0000 0.0000 0.0000
Ho 0.3333 0.6667 0.2500
Co 0.3333 0.6667 0.7500
F 0.0155 0.3612 0.6365

Output
Total moment (Bohr magnetons per cell): 6.00
Total DFT energy (no corrections) (eV per atom): -5.601